# CdGaNiMo | OQMD via LeMat-Bulk | PBE-GGA | optimized geometry
# Crystal system = cubic
# Total DFT energy (no corrections) = -76.40 eV per cell
# V = 249 Å³/cell
data_CdGaNiMo
_cell_length_a 6.2906
_cell_length_b 6.2906
_cell_length_c 6.2906
_cell_angle_alpha 90.00
_cell_angle_beta 90.00
_cell_angle_gamma 90.00
_space_group_name_H-M_alt 'F -4 3 m'
_space_group_IT_number 216
_space_group_name_Hall 'F -4 2 3'
loop_
_atom_site_label
_atom_site_type_symbol
_atom_site_fract_x
_atom_site_fract_y
_atom_site_fract_z
Cd1 Cd 0.0000 0.0000 0.0000
Ga1 Ga 0.0000 0.0000 0.5000
Ni1 Ni 0.2500 0.2500 0.7500
Mo1 Mo 0.2500 0.2500 0.2500